Entry 1:
! TcPd2S2 (PBE, optimized geometry); values from VASP
&SYSTEM
  ibrav = 0, nat = 5, ntyp = 3
/
ATOMIC_SPECIES
Tc 98.00 Tc.upf
Pd 106.42 Pd.upf
S 32.06 S.upf
CELL_PARAMETERS angstrom
-1.8145 1.8145 6.3045
1.8145 -1.8145 6.3045
1.8145 1.8145 -6.3045
ATOMIC_POSITIONS angstrom
Tc 0.0000 0.0000 0.0000
Pd 1.8145 0.0000 3.1523
Pd 0.0000 1.8145 3.1523
S 0.0000 0.0000 4.9657
S 0.0000 0.0000 7.6434
! raw formation energy = 538 meV/atom
! size of the total moment = 0.541 μB per atom

Entry 2:
! Na2In3Sn5 (PBE, optimized geometry); values from VASP
&SYSTEM
  ibrav = 0, nat = 20, ntyp = 3
/
ATOMIC_SPECIES
Na 22.99 Na.upf
In 114.82 In.upf
Sn 118.71 Sn.upf
CELL_PARAMETERS angstrom
-5.8511 7.2945 3.7072
5.8511 -7.2945 3.7072
5.8511 7.2945 -3.7072
ATOMIC_POSITIONS angstrom
Na 2.8604 1.8277 0.0000
Na 2.8604 -1.8277 3.7072
Na 2.9907 9.1221 0.0000
Na 2.9907 5.4668 3.7072
In 10.2176 1.8403 0.0000
In 5.8511 0.0000 1.8536
In 4.3664 5.4542 0.0000
In 1.4847 1.8403 3.7072
In 0.0000 7.2945 1.8536
In -4.3664 5.4542 3.7072
Sn 5.8511 -3.6185 1.8536
Sn 7.3768 1.7772 0.0000
Sn 0.0000 0.0000 1.8536
Sn 1.5257 5.5172 0.0000
Sn 5.8511 3.6185 1.8536
Sn 0.0000 3.6760 1.8536
Sn 4.3254 1.7772 3.7072
Sn 0.0000 0.0000 5.5607
Sn -1.5257 5.5172 3.7072
Sn 0.0000 10.9129 1.8536
! E_form = -0.030 eV per atom
! size of the total moment = 0.000 μB per atom

Entry 3:
! PrTh2Cu2Sn2 (PBE, optimized geometry); values from VASP
&SYSTEM
  ibrav = 0, nat = 7, ntyp = 4
/
ATOMIC_SPECIES
Pr 140.91 Pr.upf
Th 232.04 Th.upf
Cu 63.55 Cu.upf
Sn 118.71 Sn.upf
CELL_PARAMETERS angstrom
2.1959 1.2678 11.1037
-2.1959 1.2678 11.1037
0.0000 -2.5357 11.1037
ATOMIC_POSITIONS angstrom
Pr 0.0000 0.0000 0.0000
Th 0.0000 0.0000 4.2259
Th 0.0000 0.0000 29.0853
Cu 0.0000 0.0000 13.6303
Cu 0.0000 0.0000 19.6808
Sn 0.0000 0.0000 9.0274
Sn 0.0000 0.0000 24.2837
! E_form = -0.264 eV per atom
! size of the total moment = 0.000 μB per atom

Entry 4:
! SrLaB (PBE, optimized geometry); values from VASP
&SYSTEM
  ibrav = 0, nat = 6, ntyp = 3
/
ATOMIC_SPECIES
Sr 87.62 Sr.upf
La 138.91 La.upf
B 10.81 B.upf
CELL_PARAMETERS angstrom
6.9196 -1.8791 0.0000
6.9196 1.8791 0.0000
-6.7144 0.0000 7.3973
ATOMIC_POSITIONS angstrom
Sr 0.0000 0.0000 0.0000
Sr 6.7889 0.0000 3.7769
La -3.5951 0.0000 5.6236
La 10.1198 0.0000 2.2620
B 2.1916 0.0000 3.9865
B 1.4114 0.0000 5.4086
! E_form = 0.119 eV per atom
! size of the total moment = 0.000 μB per atom

Entry 5:
! GdCdSn2 (PBE, optimized geometry); values from VASP
&SYSTEM
  ibrav = 0, nat = 4, ntyp = 3
/
ATOMIC_SPECIES
Gd 157.25 Gd.upf
Cd 112.41 Cd.upf
Sn 118.71 Sn.upf
CELL_PARAMETERS angstrom
4.7621 0.0000 0.0000
0.0000 4.7621 0.0000
0.0000 0.0000 4.4604
ATOMIC_POSITIONS angstrom
Gd 0.0000 0.0000 0.0000
Cd 2.3811 2.3811 0.0000
Sn 0.0000 2.3811 2.2302
Sn 2.3811 0.0000 2.2302
! E_form = -0.477 eV per atom
! size of the total moment = 1.728 μB per atom

Entry 6:
! SrLi2MgBr6 (PBE, optimized geometry); values from VASP
&SYSTEM
  ibrav = 0, nat = 10, ntyp = 4
/
ATOMIC_SPECIES
Sr 87.62 Sr.upf
Li 6.94 Li.upf
Mg 24.30 Mg.upf
Br 79.90 Br.upf
CELL_PARAMETERS angstrom
3.5390 2.0432 6.4659
-3.5390 2.0432 6.4659
0.0000 -4.0865 6.4659
ATOMIC_POSITIONS angstrom
Sr 0.0000 0.0000 0.0000
Li 0.0000 0.0000 5.7715
Li 0.0000 0.0000 15.5876
Mg 0.0000 0.0000 9.5526
Br -2.0947 -0.2318 7.8223
Br -1.1946 -2.0258 10.9047
Br 1.2481 -1.6982 7.8223
Br -1.1571 2.0474 10.9047
Br 0.8466 1.9299 7.8223
Br 2.3517 -0.0216 10.9047
! raw formation energy = -1651 meV/atom
! size of the total moment = 0.000 μB per atom

Entry 7:
! NiHgBr2 (PBE, optimized geometry); values from VASP
&SYSTEM
  ibrav = 0, nat = 4, ntyp = 3
/
ATOMIC_SPECIES
Ni 58.69 Ni.upf
Hg 200.59 Hg.upf
Br 79.90 Br.upf
CELL_PARAMETERS angstrom
1.9062 1.1005 8.4974
-1.9062 1.1005 8.4974
0.0000 -2.2011 8.4974
ATOMIC_POSITIONS angstrom
Ni 0.0000 0.0000 0.0000
Hg 0.0000 0.0000 18.6615
Br 0.0000 0.0000 7.3887
Br 0.0000 0.0000 11.9849
! raw formation energy = -87 meV/atom
! size of the total moment = 0.138 μB per atom

Entry 8:
! Nd3ThPa2N6 (PBE, optimized geometry); values from VASP
&SYSTEM
  ibrav = 0, nat = 12, ntyp = 4
/
ATOMIC_SPECIES
Nd 144.24 Nd.upf
Th 232.04 Th.upf
Pa 231.04 Pa.upf
N 14.01 N.upf
CELL_PARAMETERS angstrom
3.1206 -5.4039 0.0000
3.1206 5.4039 0.0000
-2.0793 0.0000 5.8840
ATOMIC_POSITIONS angstrom
Nd 0.0000 0.0000 0.0000
Nd 3.1206 1.7978 0.0000
Nd 3.1206 -1.7978 0.0000
Th 2.0810 0.0000 2.9420
Pa 2.0810 3.6017 2.9420
Pa 2.0810 -3.6017 2.9420
N 0.9893 1.8878 1.6669
N -0.0993 0.0000 4.2038
N 0.9893 -1.8878 1.6669
N 3.1726 1.8878 4.2171
N 4.2612 0.0000 1.6801
N 3.1726 -1.8878 4.2171
! raw formation energy = -1562 meV/atom
! size of the total moment = 0.000 μB per atom

Question: size of the total moment of number 5 (GdCdSn2)?
Answer: 1.728 μB per atom